1.
Below is a relaxed structure of LiCdAs, with properties calculated at the PBE-GGA level.

```
LiCdAs
1.0
-0.142 1.611 2.636
0.310 -3.076 0.082
6.886 0.693 -0.052
Li As Cd
1 1 1
direct
0.667 0.333 0.684
0.000 0.000 0.972
0.333 0.667 0.344
```

Summary:
As for the symmetry: P3m1, No. 156. The energy of formation is -0.110 eV/atom. The value obtained for the density of states at the Fermi level is 0.33 states/eV/atom. The value obtained for the density is 5.63 g cm⁻³.

2.
Below is a relaxed structure of MgIn2Rh, with properties calculated at the PBE-GGA level.

```
MgIn2Rh
1.0
-2.249 -1.854 4.360
-0.480 -5.221 -0.161
4.025 3.254 -0.848
Mg Rh In
1 1 2
direct
0.500 0.500 0.000
0.750 0.250 0.500
0.250 0.750 0.500
0.000 0.000 0.000
```

Summary:
As for the symmetry: I-4m2, No. 119. The energy of formation is -0.219 eV/atom. The value obtained for the density of states at the Fermi level is 0.40 states/eV/atom. The value obtained for the density is 7.83 g cm⁻³.

3.
Below is a relaxed structure of ZrCd2Pt, with properties calculated at the PBE-GGA level.

```
ZrCd2Pt
1.0
-3.795 -0.079 4.157
4.220 -3.726 0.006
1.627 1.845 1.521
Cd Zr Pt
2 1 1
direct
0.500 0.500 0.000
0.000 0.000 0.000
0.000 0.500 0.500
0.500 0.000 0.500
```

Summary:
As for the symmetry: Cmmm, No. 65. The energy of formation is -0.147 eV/atom. The value obtained for the density of states at the Fermi level is 0.77 states/eV/atom. The value obtained for the density is 10.66 g cm⁻³.

4.
Below is a relaxed structure of NaNbPb2O6, with properties calculated at the PBE-GGA level.

```
NaNbPb2O6
1.0
-3.056 1.160 4.631
2.368 -4.619 2.719
6.644 5.240 3.114
Pb O Nb Na
4 12 2 2
direct
0.487 0.475 0.218
0.987 0.025 0.718
0.013 0.975 0.282
0.513 0.525 0.782
0.205 0.177 0.472
0.662 0.252 0.622
0.705 0.323 0.972
0.338 0.748 0.378
0.295 0.677 0.028
0.855 0.636 0.191
0.162 0.248 0.122
0.838 0.752 0.878
0.145 0.364 0.809
0.355 0.864 0.691
0.795 0.823 0.528
0.645 0.136 0.309
0.000 0.500 0.000
0.500 0.000 0.500
0.500 0.000 0.000
0.000 0.500 0.500
```

Summary:
The calculation puts the formation energy (no corrections) at -154 kJ per mole of atoms. As for the symmetry: P2_1/c, No. 14. The value obtained for the density of states at the Fermi level is 0.15 states/eV/atom. The value obtained for the density is 6.95 g cm⁻³.

5.
Below is a relaxed structure of KBa3Cl7, with properties calculated at the PBE-GGA level.

```
KBa3Cl7
1.0
-6.450 6.328 0.214
0.605 -3.523 8.302
7.028 7.079 2.492
Ba Cl K
6 14 2
direct
0.007 0.536 0.749
0.464 0.993 0.751
0.536 0.007 0.251
0.500 0.500 0.500
0.500 0.500 0.000
0.993 0.464 0.249
0.628 0.878 0.983
0.122 0.372 0.517
0.627 0.373 0.250
0.372 0.122 0.483
0.111 0.889 0.750
0.360 0.640 0.250
0.879 0.629 0.482
0.373 0.627 0.750
0.889 0.111 0.250
0.640 0.360 0.750
0.878 0.628 0.017
0.629 0.879 0.518
0.371 0.121 0.018
0.121 0.371 0.982
0.999 0.999 0.000
0.001 0.001 0.500
```

Summary:
The calculation puts the formation energy (no corrections) at -233 kJ per mole of atoms. As for the symmetry: C222_1, No. 20. The value obtained for the density of states at the Fermi level is 0.00 states/eV/atom. The value obtained for the density is 2.90 g cm⁻³.

6.
Below is a relaxed structure of Y3NbSe6, with properties calculated at the PBE-GGA level.

```
Y3NbSe6
1.0
6.875 0.000 0.000
0.000 8.933 0.056
0.000 -1.938 8.721
Y Se Nb
6 12 2
direct
0.887 0.595 0.405
0.479 0.915 0.722
0.479 0.278 0.085
0.387 0.405 0.595
0.979 0.722 0.915
0.979 0.085 0.278
0.152 0.780 0.220
0.181 0.370 0.304
0.181 0.696 0.630
0.181 0.035 0.965
0.681 0.965 0.035
0.652 0.220 0.780
0.212 0.096 0.558
0.212 0.442 0.904
0.681 0.630 0.696
0.712 0.904 0.442
0.712 0.558 0.096
0.681 0.304 0.370
0.022 0.203 0.797
0.522 0.797 0.203
```

Summary:
The calculation puts the formation energy (no corrections) at -138 kJ per mole of atoms. As for the symmetry: Cmc2_1, No. 36. The value obtained for the density of states at the Fermi level is 0.38 states/eV/atom. The value obtained for the density is 5.16 g cm⁻³.